No. 1
Entry from Alexandria via LeMat-Bulk: an optimized crystal structure of Ho3Zr2UN6 (PBE).

Lattice parameters (Å, degrees): 5.8342 5.8342 5.8533 99.44 99.44 120.09
Fractional coordinates of all 12 atoms:
1 Ho 0.0000 0.0000 0.0000
2 Ho 0.3305 0.6695 0.0000
3 Ho 0.6695 0.3305 0.0000
4 Zr 0.1668 0.8332 0.5000
5 Zr 0.8332 0.1668 0.5000
6 U 0.5000 0.5000 0.5000
7 N 0.0954 0.4220 0.2654
8 N 0.2518 0.2518 0.7307
9 N 0.4220 0.0954 0.2654
10 N 0.5780 0.9046 0.7346
11 N 0.7482 0.7482 0.2693
12 N 0.9046 0.5780 0.7346

Formation energy (no corrections) (eV per atom): -1.700
Space group: C2/m, No. 12

---

No. 2
Entry from Alexandria via LeMat-Bulk: an optimized crystal structure of HoZrU2N4 (PBE).

Lattice parameters (Å, degrees): 5.8630 3.3737 5.9343 90.00 109.17 90.00
Fractional coordinates of all 8 atoms:
1 Ho 0.0000 0.0000 0.0000
2 Zr 0.5000 0.5000 0.0000
3 U 0.0000 0.5000 0.5000
4 U 0.5000 0.0000 0.5000
5 N 0.2584 0.5000 0.2504
6 N 0.2589 0.0000 0.7551
7 N 0.7411 0.0000 0.2449
8 N 0.7416 0.5000 0.7496

Formation energy (no corrections) (eV per atom): -1.523
Space group: P2/m, No. 10

---

No. 3
Entry from Alexandria via LeMat-Bulk: an optimized crystal structure of Ho2WN4 (PBE).

Lattice parameters (Å, degrees): 8.0707 6.9905 6.1267 75.62 57.04 47.34
Fractional coordinates of all 14 atoms:
1 Ho 0.0682 0.6818 0.0682
2 Ho 0.3182 0.9318 0.3182
3 Ho 0.6818 0.0682 0.6818
4 Ho 0.9318 0.3182 0.9318
5 W 0.3750 0.3750 0.3750
6 W 0.6250 0.6250 0.6250
7 N 0.1701 0.7327 0.3422
8 N 0.2550 0.3422 0.7327
9 N 0.2673 0.8299 0.7450
10 N 0.3422 0.2550 0.1701
11 N 0.6578 0.7450 0.8299
12 N 0.7327 0.1701 0.2550
13 N 0.7450 0.6578 0.2673
14 N 0.8299 0.2673 0.6578

Formation energy (no corrections) (eV per atom): -1.228
Space group: Fddd, No. 70

---

No. 4
Entry from Alexandria via LeMat-Bulk: an optimized crystal structure of Ho2WN4 (PBE).

Lattice parameters (Å, degrees): 5.7821 5.9556 6.5310 90.00 107.79 90.00
Fractional coordinates of all 14 atoms:
1 Ho 0.1672 0.2500 0.0253
2 Ho 0.2474 0.2500 0.5580
3 Ho 0.7526 0.7500 0.4420
4 Ho 0.8328 0.7500 0.9747
5 W 0.2832 0.7500 0.8124
6 W 0.7168 0.2500 0.1876
7 N 0.0511 0.5104 0.7521
8 N 0.0511 0.9896 0.7521
9 N 0.4752 0.7500 0.0950
10 N 0.4982 0.7500 0.6516
11 N 0.5018 0.2500 0.3484
12 N 0.5248 0.2500 0.9050
13 N 0.9489 0.0104 0.2479
14 N 0.9489 0.4896 0.2479

Formation energy (no corrections) (eV per atom): -1.121
Space group: P2_1/m, No. 11

---

Look up the formation energy (no corrections) of the second one. -1.523 eV per atom

---

What did the first record say?
Entry from Alexandria via LeMat-Bulk: an optimized crystal structure of Ho3Zr2UN6 (PBE).

Lattice parameters (Å, degrees): 5.8342 5.8342 5.8533 99.44 99.44 120.09
Fractional coordinates of all 12 atoms:
1 Ho 0.0000 0.0000 0.0000
2 Ho 0.3305 0.6695 0.0000
3 Ho 0.6695 0.3305 0.0000
4 Zr 0.1668 0.8332 0.5000
5 Zr 0.8332 0.1668 0.5000
6 U 0.5000 0.5000 0.5000
7 N 0.0954 0.4220 0.2654
8 N 0.2518 0.2518 0.7307
9 N 0.4220 0.0954 0.2654
10 N 0.5780 0.9046 0.7346
11 N 0.7482 0.7482 0.2693
12 N 0.9046 0.5780 0.7346

Formation energy (no corrections) (eV per atom): -1.700
Space group: C2/m, No. 12

---

The lowest formation energy (no corrections) belongs to which entry? Ho3Zr2UN6